# 1
SCAN LiScBi2, single point on PBEsol structure; energy relative to the elements = -0.44 eV/atom
1.0
-1.234 5.000 -0.396
-0.680 2.131 -4.656
-4.733 1.378 -1.543
Bi Sc Li
2 1 1
Direct
0.750 0.750 0.750
0.250 0.250 0.250
0.500 0.500 0.500
0.000 0.000 0.000



# 2
SCAN MgTcHg2, single point on PBEsol structure; energy relative to the elements = 0.31 eV/atom
1.0
2.918 0.000 0.000
0.000 4.227 0.000
0.000 0.000 5.861
Mg Hg Tc
1 2 1
Direct
0.000 0.000 0.513
0.500 0.500 0.262
0.000 0.000 0.976
0.500 0.500 0.749



Which of these has the highest energy relative to the elements? MgTcHg2



Please write out number 2 again, unchanged.
SCAN MgTcHg2, single point on PBEsol structure; energy relative to the elements = 0.31 eV/atom
1.0
2.918 0.000 0.000
0.000 4.227 0.000
0.000 0.000 5.861
Mg Hg Tc
1 2 1
Direct
0.000 0.000 0.513
0.500 0.500 0.262
0.000 0.000 0.976
0.500 0.500 0.749